[1]
Sr2HgPd3Au12: relaxed, PBE.

a b c (Å): 8.3627 8.3627 8.3627
angles (deg): 66.20 66.20 66.20
Element x y z (fractional)
Sr1 0.6123 0.6123 0.6123
Sr2 0.3877 0.3877 0.3877
Hg1 0.0000 0.0000 0.0000
Pd1 0.5000 0.0000 0.0000
Pd2 0.0000 0.5000 0.0000
Pd3 0.0000 0.0000 0.5000
Au1 0.3579 0.3579 0.9830
Au2 0.8614 0.8614 0.3619
Au3 0.3619 0.8614 0.8614
Au4 0.9830 0.3579 0.3579
Au5 0.8614 0.3619 0.8614
Au6 0.3579 0.9830 0.3579
Au7 0.6421 0.6421 0.0170
Au8 0.1386 0.1386 0.6381
Au9 0.6381 0.1386 0.1386
Au10 0.0170 0.6421 0.6421
Au11 0.1386 0.6381 0.1386
Au12 0.6421 0.0170 0.6421

Output
SG: R-3m, No. 166
calculated formation energy: 91 kJ/mol of formula units
spin magnetization: 0.0000 μB/atom


[2]
TmSc2In: relaxed, PBE.

a b c (Å): 4.6047 4.6116 4.6116
angles (deg): 90.00 90.00 90.00
Element x y z (fractional)
Sc1 0.0000 0.0000 0.5000
Sc2 0.0000 0.5000 0.0000
Tm1 0.5000 0.5000 0.5000
In1 0.5000 0.0000 0.0000

Output
SG: P4/mmm, No. 123
polymorph energy (0 for the lowest one): 0.00 kJ/mol of atoms
calculated formation energy: -102 kJ/mol of formula units
spin magnetization: 0.3072 μB/atom


[3]
Hf2ZrCo: relaxed, PBE.

a b c (Å): 3.2779 5.7025 8.6985
angles (deg): 90.00 90.00 106.73
Element x y z (fractional)
Hf1 0.3630 0.7260 0.5587
Hf2 0.6370 0.2740 0.4413
Hf3 0.3630 0.7260 0.9413
Hf4 0.6370 0.2740 0.0587
Zr1 0.9271 0.8543 0.2500
Zr2 0.0729 0.1457 0.7500
Co1 0.7716 0.5434 0.7500
Co2 0.2284 0.4566 0.2500

Output
SG: Cmcm, No. 63
polymorph energy (0 for the lowest one): 0.00 kJ/mol of atoms
calculated formation energy: -89 kJ/mol of formula units
spin magnetization: 0.0000 μB/atom


[4]
K2Cd3Sn4Ge: relaxed, PBE.

a b c (Å): 4.8980 4.8980 12.3564
angles (deg): 90.00 90.00 90.00
Element x y z (fractional)
K1 0.5000 0.0000 0.2550
K2 0.0000 0.5000 0.7450
Cd1 0.0000 0.0000 0.5000
Cd2 0.5000 0.0000 0.8591
Cd3 0.0000 0.5000 0.1409
Sn1 0.5000 0.5000 0.0000
Sn2 0.0000 0.0000 0.0000
Sn3 0.5000 0.0000 0.6279
Sn4 0.0000 0.5000 0.3721
Ge1 0.5000 0.5000 0.5000

Output
SG: P-4m2, No. 115
calculated formation energy: -123 kJ/mol of formula units
spin magnetization: 0.0000 μB/atom


[5]
Pu12Ru2Rh5: relaxed, PBE.

a b c (Å): 8.8700 10.3769 5.0654
angles (deg): 101.26 90.00 115.30
Element x y z (fractional)
Pu1 0.8999 0.7998 0.8577
Pu2 0.0857 0.5850 0.7823
Pu3 0.4993 0.5850 0.7823
Pu4 0.1838 0.8224 0.3674
Pu5 0.6386 0.8224 0.3674
Pu6 0.4272 0.8545 0.8020
Pu7 0.5728 0.1455 0.1980
Pu8 0.8162 0.1776 0.6326
Pu9 0.3614 0.1776 0.6326
Pu10 0.9143 0.4150 0.2177
Pu11 0.5007 0.4150 0.2177
Pu12 0.1001 0.2002 0.1423
Ru1 0.7672 0.0000 0.0000
Ru2 0.2328 0.0000 0.0000
Rh1 0.1784 0.3567 0.7126
Rh2 0.2923 0.5846 0.2742
Rh3 0.0000 0.0000 0.5000
Rh4 0.7077 0.4154 0.7258
Rh5 0.8216 0.6433 0.2874

Output
SG: C2/m, No. 12
calculated formation energy: -306 kJ/mol of formula units
spin magnetization: 3.3510 μB/atom


[6]
KIn2Ag: relaxed, PBE.

a b c (Å): 5.4563 5.4563 10.5981
angles (deg): 75.08 75.08 90.00
Element x y z (fractional)
K1 0.5000 0.5000 0.0000
K2 0.2500 0.7500 0.5000
Ag1 0.0000 0.0000 0.0000
Ag2 0.7500 0.2500 0.5000
In1 0.7920 0.1250 0.2500
In2 0.9580 0.6250 0.2500
In3 0.3750 0.2080 0.7500
In4 0.8750 0.0420 0.7500

Output
SG: I-42d, No. 122
calculated formation energy: 35 kJ/mol of formula units
spin magnetization: 0.0000 μB/atom


[7]
Tl2CrPb: relaxed, PBE.

a b c (Å): 5.3388 5.3388 5.3388
angles (deg): 60.00 60.00 60.00
Element x y z (fractional)
Pb1 0.5000 0.5000 0.5000
Cr1 0.0000 0.0000 0.0000
Tl1 0.2500 0.2500 0.2500
Tl2 0.7500 0.7500 0.7500

Output
SG: Fm-3m, No. 225
polymorph energy (0 for the lowest one): 11.20 kJ/mol of atoms
calculated formation energy: 174 kJ/mol of formula units
spin magnetization: 1.0821 μB/atom


[8]
Tm5Al2Te2: relaxed, PBE.

a b c (Å): 7.8275 7.8513 8.5901
angles (deg): 90.00 62.90 90.00
Element x y z (fractional)
Tm1 0.0000 0.0000 0.0000
Tm2 0.5000 0.5000 0.0000
Tm3 0.4608 0.1685 0.7416
Tm4 0.7976 0.8315 0.7416
Tm5 0.2976 0.6685 0.7416
Tm6 0.9608 0.3315 0.7416
Tm7 0.5392 0.8315 0.2584
Tm8 0.2024 0.1685 0.2584
Tm9 0.7024 0.3315 0.2584
Tm10 0.0392 0.6685 0.2584
Al1 0.1248 0.3768 0.0000
Al2 0.8752 0.6232 0.0000
Al3 0.3752 0.8768 0.0000
Al4 0.6248 0.1232 0.0000
Te1 0.2059 0.0000 0.5883
Te2 0.7059 0.5000 0.5883
Te3 0.7941 0.0000 0.4117
Te4 0.2941 0.5000 0.4117

Output
SG: Cmce, No. 64
uncorrected formation energy: -0.759 eV per atom
spin magnetization: 0.0006 μB/atom